The following is a PBE calculation of Li2Dy3Al9 after structural relaxation, from Alexandria via LeMat-Bulk.

Cell and atoms, written as POSCAR:
```
Li2Dy3Al9
1.0
-2.175 4.932 6.284
2.175 -4.932 6.284
2.175 4.932 -6.284
Li Dy Al
2 3 9
Direct
0.191 0.000 0.191
0.809 0.000 0.809
0.196 0.196 0.000
0.500 0.500 0.000
0.804 0.804 0.000
0.000 0.500 0.500
0.083 0.363 0.720
0.214 0.846 0.367
0.357 0.637 0.720
0.479 0.846 0.633
0.521 0.154 0.367
0.643 0.363 0.280
0.786 0.154 0.633
0.917 0.637 0.280
```

Properties
Symmetry: Immm (71)
Total moment, μB per formula unit: 0.0



The following is a PBE calculation of LiDy6Al5 after structural relaxation, from Alexandria via LeMat-Bulk.

Cell and atoms, written as POSCAR:
```
LiDy6Al5
1.0
2.563 -7.698 0.000
2.563 7.698 0.000
0.000 0.000 7.166
Li Dy Al
1 6 5
Direct
0.000 0.000 0.000
0.168 0.832 0.249
0.168 0.832 0.751
0.500 0.500 0.252
0.500 0.500 0.748
0.832 0.168 0.249
0.832 0.168 0.751
0.000 0.000 0.500
0.334 0.666 0.500
0.339 0.661 0.000
0.661 0.339 0.000
0.666 0.334 0.500
```

Properties
Symmetry: Cmmm (65)
Total moment, μB per formula unit: 0.0



The following is a PBE calculation of LiDy4Al12 after structural relaxation, from Alexandria via LeMat-Bulk.

Cell and atoms, written as POSCAR:
```
LiDy4Al12
1.0
-4.344 4.344 4.344
4.344 -4.344 4.344
4.344 4.344 -4.344
Li Dy Al
1 4 12
Direct
0.000 0.000 0.000
0.000 0.000 0.500
0.000 0.500 0.000
0.500 0.000 0.000
0.500 0.500 0.500
0.000 0.297 0.297
0.000 0.703 0.703
0.250 0.500 0.750
0.250 0.750 0.500
0.297 0.000 0.297
0.297 0.297 0.000
0.500 0.250 0.750
0.500 0.750 0.250
0.703 0.000 0.703
0.703 0.703 0.000
0.750 0.250 0.500
0.750 0.500 0.250
```

Properties
Symmetry: Im-3m (229)
Total moment, μB per formula unit: 0.0



The following is a PBE calculation of LiDy3Al after structural relaxation, from Alexandria via LeMat-Bulk.

Cell and atoms, written as POSCAR:
```
LiDy3Al
1.0
2.542 -9.977 0.000
2.542 9.977 0.000
0.000 0.000 5.082
Li Dy Al
2 6 2
Direct
0.158 0.842 0.750
0.842 0.158 0.250
0.063 0.937 0.250
0.250 0.750 0.250
0.436 0.564 0.250
0.564 0.436 0.750
0.750 0.250 0.750
0.937 0.063 0.750
0.341 0.659 0.750
0.659 0.341 0.250
```

Properties
Symmetry: Cmcm (63)
Offset from the most stable computed form, eV per atom: 0.0000
Total moment, μB per formula unit: 0.0



Number 1: electronic total energy -56.4 eV/cell, energy of formation -0.360 eV/atom. Number 2: electronic total energy -52.5 eV/cell, energy of formation -0.356 eV/atom. Number 3: electronic total energy -72.0 eV/cell, energy of formation -0.397 eV/atom. Number 4: electronic total energy -40.4 eV/cell, energy of formation -0.144 eV/atom.